# 1
Density functional theory data (PBE+U) for a relaxed structure of KFeP4H4O14.

The structure in extended XYZ format:
```
24
Lattice="-2.124 -3.273 -3.350 1.689 -7.155 2.318 -6.689 -1.608 4.109" Properties=species:S:1:pos:R:3 pbc="T T T"
O -2.431 -4.746 1.199
O -4.692 -7.289 1.877
P -5.724 -6.067 2.066
O -1.736 -6.750 -0.237
P -2.410 -3.181 0.774
H -1.734 -6.554 3.180
O -6.163 -9.305 2.384
P -4.713 -8.854 2.303
H -2.325 -9.996 1.596
O -5.387 -5.285 3.314
Fe 0.845 -3.577 1.159
O -3.024 -3.105 -0.675
O 0.023 -5.409 1.067
O -5.462 -5.119 0.860
O -1.662 -6.916 2.217
O -0.960 -2.730 0.693
K 0.000 0.000 0.000
O -3.806 -9.561 1.320
H -5.389 -5.481 -0.103
O -4.100 -8.930 3.752
P -1.399 -5.968 1.010
H -4.799 -2.039 1.481
O -3.318 -2.474 1.757
O -7.147 -6.626 2.010
```

Summary:
The volume is 12.39 A^3/atom. For the density of states at the Fermi level, the calculation gives 0.00 states/eV/atom. The calculated total energy is -0.4790 Ry per atom.

# 2
Density functional theory data (PBE+U) for a relaxed structure of KFe3H6S2O14.

The structure in extended XYZ format:
```
26
Lattice="7.258 -0.018 -0.013 3.489 6.364 -0.013 3.489 2.060 6.022" Properties=species:S:1:pos:R:3 pbc="T T T"
O 4.780 1.404 1.002
O 3.538 2.089 2.990
Fe 1.744 3.182 -0.007
H 7.345 2.569 1.832
O 5.554 3.280 2.339
S 9.874 5.831 4.159
H 8.439 3.215 4.163
H 8.439 4.983 1.684
O 8.217 2.197 1.567
O 5.892 6.134 1.567
O 8.681 5.126 3.656
O 3.538 3.508 1.002
O 8.344 4.927 0.706
H 6.891 5.837 4.163
O 8.344 2.272 4.428
Fe 3.629 -0.009 -0.007
Fe 1.744 1.030 3.011
H 5.796 5.191 1.832
O 6.019 6.209 4.428
O 5.892 3.479 5.290
O 10.697 6.317 3.005
O 9.455 7.002 4.994
S 4.361 2.575 1.837
H 5.796 3.423 4.311
K 0.000 0.000 0.000
O 10.697 4.898 4.994
```

Summary:
The volume is 10.73 A^3/atom. For the density of states at the Fermi level, the calculation gives 0.00 states/eV/atom. The calculated total energy is -0.4296 Ry per atom. The value obtained for the relative energy among the computed polymorphs is 0.0 meV per atom.

Which of these has the highest volume?
KFeP4H4O14